(1)
First-principles (PBE) data for an optimized crystal structure of ZnCuTePdO, as listed in the Alexandria database.

Cell lengths 3.0976, 4.4773, 6.4500 Å; angles 84.80, 82.50, 88.30 degrees
With the nearest neighbours (Å) after each atom.
Space group P1 (No. 1)
One atom of each set of equivalent atoms:
Zn  0.0000  0.0000  0.0000 x1  2 O 1.98-2.00
Cu  0.4545  0.6165  0.7720 x1  1 O 1.87
Te  0.3832  0.9955  0.4747 x1  1 Cu 2.47, 1 Pd 2.59
Pd  0.4556  0.5969  0.2040 x1  1 O 2.19
O  0.5029  0.2788  0.9623 x1  1 Cu 1.87, 2 Zn 1.98-2.00

(2)
First-principles (PBE) data for an optimized crystal structure of ThCu3Pd4O12, as listed in the Alexandria database.

Cell lengths 7.6569, 7.6569, 7.6569 Å; angles 90.00, 90.00, 90.00 degrees
With the nearest neighbours (Å) after each atom.
Space group Im-3 (No. 204)
One atom of each set of equivalent atoms:
Th  0.0000  0.0000  0.0000 x2  12 O 2.63
Cu  0.0000  0.0000  0.5000 x6  4 O 1.94
Pd  0.2500  0.2500  0.2500 x8  6 O 2.07
O  0.0000  0.1604  0.3035 x24  1 Cu 1.94, 2 Pd 2.07

(3)
First-principles (PBE) data for an optimized crystal structure of TlCuPdO4, as listed in the Alexandria database.

Cell lengths 5.9366, 8.7927, 7.2540 Å; angles 90.00, 90.00, 90.00 degrees
With the nearest neighbours (Å) after each atom.
Space group Cmcm (No. 63)
One atom of each set of equivalent atoms:
Tl  0.0000  0.0000  0.0000 x4  6 O 2.32-2.46
Cu  0.0000  0.3529  0.2500 x4  4 O 1.83-2.02
Pd  0.0000  0.3116  0.7500 x4  2 O 1.93
O  0.0000  0.2800  0.0130 x8  1 Cu 1.83, 1 Pd 1.93
O  0.2441  0.0037  0.2500 x8  1 Cu 2.02, 1 Pd 2.22

(4)
First-principles (PBE) data for an optimized crystal structure of TlCuPd2O, as listed in the Alexandria database.

Cell lengths 5.1207, 5.1207, 4.8954 Å; angles 90.00, 90.00, 90.00 degrees
With the nearest neighbours (Å) after each atom.
Space group P4/mmm (No. 123)
One atom of each set of equivalent atoms:
Tl  0.0000  0.0000  0.0000 x1  2 Cu 2.45, 4 Pd 2.56
Cu  0.0000  0.0000  0.5000 x1  2 Tl 2.45
Pd  0.0000  0.5000  0.0000 x2  2 Tl 2.56
O  0.5000  0.5000  0.5000 x1  8 Pd 3.54, 4 Cu 3.62

(5)
First-principles (PBE) data for an optimized crystal structure of Tl2Cu2PdO6, as listed in the Alexandria database.

Cell lengths 5.8241, 5.8241, 16.0862 Å; angles 90.00, 90.00, 120.00 degrees
With the nearest neighbours (Å) after each atom.
Space group R-3m (No. 166, hexagonal axes)
One atom of each set of equivalent atoms:
Tl  0.0000  0.0000  0.2100 x6  3 O 2.62
Cu  0.0000  0.0000  0.3945 x6  3 O 1.82
Pd  0.0000  0.0000  0.0000 x3  6 O 2.01
O  0.0235  0.5117  0.7456 x18  1 Cu 1.82, 1 Pd 2.01

(6)
First-principles (PBE) data for an optimized crystal structure of TmCuPdO4, as listed in the Alexandria database.

Cell lengths 6.2610, 6.5912, 8.5893 Å; angles 90.00, 90.00, 90.00 degrees
With the nearest neighbours (Å) after each atom.
Space group Imma (No. 74)
One atom of each set of equivalent atoms:
Tm  0.0000  0.0000  0.0000 x4  6 O 2.20-2.25
Cu  0.0000  0.2500  0.3792 x4  4 O 1.99-2.11
Pd  0.2500  0.2500  0.7500 x4  6 O 2.10-2.14
O  0.0000  0.0301  0.7387 x8  1 Cu 2.11, 2 Pd 2.14, 1 Tm 2.25
O  0.2339  0.2500  0.9942 x8  1 Cu 1.99, 1 Pd 2.10, 2 Tm 2.20

(7)
First-principles (PBE) data for an optimized crystal structure of UCu2PdO8, as listed in the Alexandria database.

Cell lengths 6.5370, 6.5370, 6.9562 Å; angles 90.00, 90.00, 90.00 degrees
With the nearest neighbours (Å) after each atom.
Space group I-4m2 (No. 119)
One atom of each set of equivalent atoms:
U  0.0000  0.0000  0.0000 x2  4 O 2.03
Cu  0.0000  0.0000  0.5000 x2  4 O 1.93
Cu  0.0000  0.5000  0.2500 x2  4 O 1.84
Pd  0.0000  0.5000  0.7500 x2  4 O 2.04
O  0.0000  0.1906  0.7110 x8  1 Cu 1.93, 1 Pd 2.04
O  0.0000  0.3038  0.0596 x8  1 Cu 1.84, 1 U 2.03

In kcal/mol of atoms, the E_form (uncorrected) values for the records above are, in order, -9.45, -20.92, -6.18, 31.76, -8.74, -34.55, -21.80.
In μB/f.u., the total magnetic moment values for the records above are, in order, 0.0, 0.0, 1.8, 1.2, 2.4, 0.0, 2.8.